Pm6Sb2Au | PBE-GGA | relaxed

```
18
Lattice="6.465 0.000 0.000 0.000 8.368 0.000 -6.352 0.000 10.383" Properties=species:S:1:pos:R:3 pbc="T T T"
Pm -2.403 1.621 4.682
Pm -5.579 2.563 9.873
Pm -0.829 5.573 4.738
Pm -4.005 6.979 9.929
Pm 0.915 0.291 2.441
Pm -2.261 3.893 7.633
Pm 2.374 4.475 2.750
Pm -0.802 8.077 7.942
Pm 4.118 1.389 0.454
Pm 0.942 2.795 5.646
Pm 5.692 5.805 0.510
Pm 2.516 6.746 5.702
Sb -3.766 0.962 7.742
Sb -0.590 3.222 2.550
Sb 0.703 5.146 7.833
Sb 3.879 7.406 2.642
Au 0.056 0.000 5.192
Au 3.233 4.184 0.000
```

Computed properties:
The space-group type is P2_1/c (14). Its energy relative to the elements, uncorrected is -0.648 eV/atom.